[1]
Pm2InBi4: optimized geometry, PBE.

Values from the calculation:
Offset from the most stable computed form (eV/atom): 0.000
Energy of formation from the pure elements (eV per atom): -0.498

Cell lengths 4.571, 4.571, 10.867 Å; angles 90.00, 90.00, 90.00 degrees
Positions (direct):
1 Pm 0.000 0.500 0.233
2 Pm 0.500 0.000 0.767
3 In 0.000 0.000 0.500
4 Bi 0.000 0.000 0.000
5 Bi 0.000 0.500 0.687
6 Bi 0.500 0.000 0.313
7 Bi 0.500 0.500 0.000

[2]
Pm5In2Bi: optimized geometry, PBE.

Values from the calculation:
Energy of formation from the pure elements (eV per atom): -0.489

Cell lengths 9.019, 9.019, 9.019 Å; angles 122.29, 122.29, 86.07 degrees
Positions (direct):
1 Pm 0.000 0.000 0.000
2 Pm 0.008 0.508 0.814
3 Pm 0.194 0.008 0.500
4 Pm 0.306 0.806 0.814
5 Pm 0.492 0.306 0.500
6 Pm 0.500 0.500 0.000
7 Pm 0.508 0.694 0.500
8 Pm 0.694 0.194 0.186
9 Pm 0.806 0.992 0.500
10 Pm 0.992 0.492 0.186
11 In 0.141 0.359 0.500
12 In 0.359 0.859 0.217
13 In 0.641 0.141 0.783
14 In 0.859 0.641 0.500
15 Bi 0.250 0.250 0.000
16 Bi 0.750 0.750 0.000

- Number 2 is which compound?
  Pm5In2Bi

- Among the records above, which one has the lowest energy of formation from the pure elements?
  Pm2InBi4

- What is the energy of formation from the pure elements in the second record?
  -0.489 eV per atom

Please write out number 1 again, unchanged.
Pm2InBi4: optimized geometry, PBE.

Values from the calculation:
Offset from the most stable computed form (eV/atom): 0.000
Energy of formation from the pure elements (eV per atom): -0.498

Cell lengths 4.571, 4.571, 10.867 Å; angles 90.00, 90.00, 90.00 degrees
Positions (direct):
1 Pm 0.000 0.500 0.233
2 Pm 0.500 0.000 0.767
3 In 0.000 0.000 0.500
4 Bi 0.000 0.000 0.000
5 Bi 0.000 0.500 0.687
6 Bi 0.500 0.000 0.313
7 Bi 0.500 0.500 0.000